(1)
A plane-wave DFT calculation with PBE+U was carried out for crystalline Ba3TmFe2O6 at its relaxed geometry.

- total magnetization (μB/f.u.) = 8.82
- electronic total energy (eV/cell) = -78.2

Cell and atoms, written as extended XYZ:
```
12
Lattice="6.173 0.000 0.000 -3.086 5.346 0.000 0.000 0.000 7.097" Properties=species:S:1:pos:R:3 pbc="T T T"
Ba 3.086 1.782 2.491
Tm 0.000 0.000 3.549
Fe 3.086 1.782 5.577
O 1.526 0.881 4.901
O 4.646 0.881 4.901
O 0.000 1.762 2.196
O 3.086 3.583 4.901
Fe 0.000 3.564 1.520
O 1.560 4.465 2.196
O -1.560 4.465 2.196
Ba 0.000 3.564 4.607
Ba 0.000 0.000 0.000
```


(2)
A plane-wave DFT calculation with PBE+U was carried out for crystalline Ba2TmFeO5 at its relaxed geometry.

- total magnetization (μB/f.u.) = 4.94
- electronic total energy (eV/cell) = -123.6

Cell and atoms, written as extended XYZ:
```
18
Lattice="-0.131 3.079 -1.743 -3.584 -4.911 -4.808 -10.005 2.406 5.000" Properties=species:S:1:pos:R:3 pbc="T T T"
Fe -9.810 3.447 3.229
O -3.001 2.224 0.558
Ba -4.657 -0.695 -4.473
O -10.367 2.515 1.625
O -0.449 -0.272 -0.447
O -8.637 -0.383 -0.028
Tm -1.811 -1.316 -2.189
Tm -7.519 0.835 -1.557
O -6.243 1.710 -0.106
Ba -7.509 0.895 2.145
Ba -10.948 1.077 -0.871
O -11.551 -1.450 -1.694
Ba -4.240 -0.150 0.053
O -6.369 -1.215 -1.669
O -8.513 -0.298 -3.482
Fe -7.643 -1.975 -2.914
O -2.566 -2.317 -3.899
O -3.123 0.486 -2.503
```


(3)
A plane-wave DFT calculation with PBE+U was carried out for crystalline BaTmFe4O7 at its relaxed geometry.

- total magnetization (μB/f.u.) = 17.00
- electronic total energy (eV/cell) = -89.5

Cell and atoms, written as extended XYZ:
```
13
Lattice="-2.029 -5.191 3.223 6.008 -2.172 0.803 -1.685 5.941 1.820" Properties=species:S:1:pos:R:3 pbc="T T T"
Fe 0.587 2.842 2.055
O 0.070 -4.378 3.108
O 0.969 -1.793 0.980
Fe -0.376 0.495 3.840
O 2.469 -2.218 3.744
O 3.010 -5.570 3.045
Fe 0.755 -2.502 2.827
Tm 0.000 0.000 0.000
O -0.862 -1.466 3.528
O -0.350 1.121 1.923
O 2.400 2.632 2.914
Ba 3.156 0.044 2.318
Fe 3.622 -3.678 2.967
```


(4)
A plane-wave DFT calculation with PBE+U was carried out for crystalline BaUFeO5 at its relaxed geometry.

- total magnetization (μB/f.u.) = 4.00
- electronic total energy (eV/cell) = -130.7

Cell and atoms, written as extended XYZ:
```
16
Lattice="-5.406 0.716 2.981 4.584 -0.491 4.168 1.276 7.340 -3.277" Properties=species:S:1:pos:R:3 pbc="T T T"
O 1.010 4.338 0.270
Ba 1.631 1.740 2.960
Fe 2.399 5.394 1.337
Fe -1.945 2.172 2.536
O 3.337 4.093 2.587
O -0.556 3.228 3.603
O -3.425 1.163 3.498
O -0.635 0.790 1.789
O 1.089 6.776 2.084
O 4.259 1.422 3.273
O 3.879 6.403 0.375
U 0.000 0.000 0.000
Ba -1.177 5.826 0.912
U 0.638 3.670 -1.638
O -2.883 3.473 1.286
O -3.805 6.144 0.600
```


(5)
A plane-wave DFT calculation with PBE+U was carried out for crystalline BaUFe2O6 at its relaxed geometry.

- total magnetization (μB/f.u.) = 8.01
- electronic total energy (eV/cell) = -77.8

Cell and atoms, written as extended XYZ:
```
10
Lattice="-4.890 -0.857 3.033 -3.966 -3.440 -2.118 -0.867 -5.383 2.748" Properties=species:S:1:pos:R:3 pbc="T T T"
Ba -7.565 -6.722 2.521
O -4.913 -5.342 3.837
O -4.143 -2.682 1.737
O -7.131 -4.052 2.062
U -2.868 -1.582 0.402
Fe -5.069 -4.491 1.655
O -5.271 -4.731 -0.437
O -5.109 -6.792 1.606
O -2.734 -5.480 2.057
Fe -5.716 -6.013 5.640
```


(6)
A plane-wave DFT calculation with PBE+U was carried out for crystalline Ba3UFe2O9 at its relaxed geometry.

- energy above the lowest structure with this stoichiometry (kJ per mole of atoms) = 0.00
- total magnetization (μB/f.u.) = 9.99

Cell and atoms, written as extended XYZ:
```
15
Lattice="5.881 0.000 0.000 -2.941 5.093 0.000 0.000 0.000 7.278" Properties=species:S:1:pos:R:3 pbc="T T T"
Ba 0.000 3.396 5.010
O 1.476 0.852 4.858
O 0.000 1.704 2.420
Fe 2.941 1.698 6.195
Ba 0.000 0.000 0.000
O 2.941 0.000 0.000
O 1.465 4.241 2.420
O 1.470 2.547 0.000
Fe 0.000 3.396 1.083
O 4.405 0.852 4.858
O 2.941 3.389 4.858
Ba 2.941 1.698 2.268
U 0.000 0.000 3.639
O -1.465 4.241 2.420
O -1.470 2.547 0.000
```


- Look up the total magnetization of the fifth one.
  8.01 μB/f.u.